! SiTcMo2 PBE-GGA relaxed; values from VASP
! - Spin magnetization: 0.00 μB/cell
! - Crystal system: cubic
! - Calculated total energy: -38.005 eV for the cell shown
! - Theoretical density: 9.05 Mg/m³
&SYSTEM
  ibrav = 0, nat = 4, ntyp = 3
/
ATOMIC_SPECIES
Tc 98.00 Tc.upf
Mo 95.94 Mo.upf
Si 28.09 Si.upf
CELL_PARAMETERS angstrom
0.0000 3.0783 3.0783
3.0783 0.0000 3.0783
3.0783 3.0783 0.0000
ATOMIC_POSITIONS crystal
Tc 0.2500 0.2500 0.2500
Mo 0.7500 0.7500 0.7500
Mo 0.0000 0.0000 0.0000
Si 0.5000 0.5000 0.5000

! SiTc4Mo2 PBE-GGA relaxed; values from VASP
! - Spin magnetization: 0.00 μB/cell
! - Crystal system: orthorhombic
! - Calculated total energy: -62.988 eV for the cell shown
! - Theoretical density: 8.09 Mg/m³
&SYSTEM
  ibrav = 0, nat = 7, ntyp = 3
/
ATOMIC_SPECIES
Tc 98.00 Tc.upf
Mo 95.94 Mo.upf
Si 28.09 Si.upf
CELL_PARAMETERS angstrom
-0.1977 3.8006 -4.8776
-1.3230 0.8553 5.9827
4.1928 1.1898 0.7571
ATOMIC_POSITIONS crystal
Tc 0.7295 0.7295 0.5000
Tc 0.8023 0.1977 0.0000
Tc 0.1977 0.8023 0.0000
Tc 0.2705 0.2705 0.5000
Mo 0.5000 0.0000 0.5000
Mo 0.0000 0.5000 0.5000
Si 0.0000 0.0000 0.0000

! Si2TeMo PBE-GGA relaxed; values from VASP
! - Spin magnetization: 0.00 μB/cell
! - Crystal system: cubic
! - Calculated total energy: -22.400 eV for the cell shown
! - Theoretical density: 6.74 Mg/m³
&SYSTEM
  ibrav = 0, nat = 4, ntyp = 3
/
ATOMIC_SPECIES
Mo 95.94 Mo.upf
Te 127.60 Te.upf
Si 28.09 Si.upf
CELL_PARAMETERS angstrom
0.0000 3.2544 3.2544
3.2544 0.0000 3.2544
3.2544 3.2544 0.0000
ATOMIC_POSITIONS crystal
Mo 0.5000 0.5000 0.5000
Te 0.7500 0.7500 0.7500
Si 0.2500 0.2500 0.2500
Si 0.0000 0.0000 0.0000

! ThSiMo PBE-GGA relaxed; values from VASP
! - Spin magnetization: 0.02 μB/cell
! - Crystal system: cubic
! - Calculated total energy: -23.160 eV for the cell shown
! - Theoretical density: 8.60 Mg/m³
&SYSTEM
  ibrav = 0, nat = 3, ntyp = 3
/
ATOMIC_SPECIES
Th 232.04 Th.upf
Si 28.09 Si.upf
Mo 95.94 Mo.upf
CELL_PARAMETERS angstrom
0.0000 3.2519 3.2519
3.2519 0.0000 3.2519
3.2519 3.2519 0.0000
ATOMIC_POSITIONS crystal
Th 0.7500 0.7500 0.7500
Si 0.0000 0.0000 0.0000
Mo 0.2500 0.2500 0.2500

! TlSi5Mo3 PBE-GGA relaxed; values from VASP
! - Spin magnetization: 0.01 μB/cell
! - Crystal system: hexagonal
! - Calculated total energy: -60.852 eV for the cell shown
! - Theoretical density: 6.41 Mg/m³
&SYSTEM
  ibrav = 0, nat = 9, ntyp = 3
/
ATOMIC_SPECIES
Si 28.09 Si.upf
Mo 95.94 Mo.upf
Tl 204.38 Tl.upf
CELL_PARAMETERS angstrom
5.4483 0.0000 0.0000
-2.7241 4.7183 0.0000
0.0000 0.0000 6.3790
ATOMIC_POSITIONS crystal
Si 0.3333 0.6667 0.1851
Si 0.3333 0.6667 0.8149
Si 0.6667 0.3333 0.1851
Si 0.0000 0.0000 0.5000
Si 0.6667 0.3333 0.8149
Mo 0.5000 0.0000 0.5000
Mo 0.5000 0.5000 0.5000
Mo 0.0000 0.5000 0.5000
Tl 0.0000 0.0000 0.0000

! TlSiMo PBE-GGA relaxed; values from VASP
! - Spin magnetization: 0.04 μB/cell
! - Crystal system: cubic
! - Distance to the lowest polymorph of the same formula: 0 meV per atom
! - Calculated total energy: -16.242 eV for the cell shown
! - Theoretical density: 9.40 Mg/m³
&SYSTEM
  ibrav = 0, nat = 3, ntyp = 3
/
ATOMIC_SPECIES
Tl 204.38 Tl.upf
Mo 95.94 Mo.upf
Si 28.09 Si.upf
CELL_PARAMETERS angstrom
-2.4061 -1.9811 -3.0280
-3.8209 1.6934 -1.1898
-0.4518 1.7932 -3.9323
ATOMIC_POSITIONS crystal
Tl 0.7500 0.7500 0.7500
Mo 0.2500 0.2500 0.2500
Si 0.0000 0.0000 0.0000

! Si2MoW PBE-GGA relaxed; values from VASP
! - Spin magnetization: 0.00 μB/cell
! - Crystal system: cubic
! - Calculated total energy: -33.922 eV for the cell shown
! - Theoretical density: 9.43 Mg/m³
&SYSTEM
  ibrav = 0, nat = 4, ntyp = 3
/
ATOMIC_SPECIES
Si 28.09 Si.upf
Mo 95.94 Mo.upf
W 183.84 W.upf
CELL_PARAMETERS angstrom
0.0000 3.0928 3.0928
3.0928 0.0000 3.0928
3.0928 3.0928 0.0000
ATOMIC_POSITIONS crystal
Si 0.0000 0.0000 0.0000
Si 0.7500 0.7500 0.7500
Mo 0.2500 0.2500 0.2500
W 0.5000 0.5000 0.5000

! SiMo2W PBE-GGA relaxed; values from VASP
! - Spin magnetization: 0.01 μB/cell
! - Crystal system: cubic
! - Calculated total energy: -39.849 eV for the cell shown
! - Theoretical density: 11.16 Mg/m³
&SYSTEM
  ibrav = 0, nat = 4, ntyp = 3
/
ATOMIC_SPECIES
Si 28.09 Si.upf
Mo 95.94 Mo.upf
W 183.84 W.upf
CELL_PARAMETERS angstrom
0.0000 3.1091 3.1091
3.1091 0.0000 3.1091
3.1091 3.1091 0.0000
ATOMIC_POSITIONS crystal
Si 0.5000 0.5000 0.5000
Mo 0.7500 0.7500 0.7500
Mo 0.0000 0.0000 0.0000
W 0.2500 0.2500 0.2500

! SiMoW2 PBE-GGA relaxed; values from VASP
! - Spin magnetization: 0.00 μB/cell
! - Crystal system: cubic
! - Calculated total energy: -41.881 eV for the cell shown
! - Theoretical density: 13.47 Mg/m³
&SYSTEM
  ibrav = 0, nat = 4, ntyp = 3
/
ATOMIC_SPECIES
W 183.84 W.upf
Si 28.09 Si.upf
Mo 95.94 Mo.upf
CELL_PARAMETERS angstrom
0.9538 1.4999 4.0352
-2.5825 3.0317 1.8926
-2.5517 -1.1037 3.4225
ATOMIC_POSITIONS crystal
W 0.0000 0.0000 0.0000
W 0.7500 0.7500 0.7500
Si 0.5000 0.5000 0.5000
Mo 0.2500 0.2500 0.2500

! Si4MoW PBE-GGA relaxed; values from VASP
! - Spin magnetization: 0.00 μB/cell
! - Crystal system: tetragonal
! - Calculated total energy: -48.038 eV for the cell shown
! - Theoretical density: 7.98 Mg/m³
&SYSTEM
  ibrav = 0, nat = 6, ntyp = 3
/
ATOMIC_SPECIES
Mo 95.94 Mo.upf
Si 28.09 Si.upf
W 183.84 W.upf
CELL_PARAMETERS angstrom
3.2219 0.0000 0.0000
0.0000 3.2219 0.0000
0.0000 0.0000 7.8627
ATOMIC_POSITIONS crystal
Mo 0.0000 0.0000 0.5000
Si 0.5000 0.5000 0.3349
Si 0.0000 0.0000 0.8343
Si 0.5000 0.5000 0.6651
Si 0.0000 0.0000 0.1657
W 0.5000 0.5000 0.0000

! YSi2Mo PBE-GGA relaxed; values from VASP
! - Spin magnetization: 0.00 μB/cell
! - Crystal system: cubic
! - Calculated total energy: -26.920 eV for the cell shown
! - Theoretical density: 5.82 Mg/m³
&SYSTEM
  ibrav = 0, nat = 4, ntyp = 3
/
ATOMIC_SPECIES
Y 88.91 Y.upf
Si 28.09 Si.upf
Mo 95.94 Mo.upf
CELL_PARAMETERS angstrom
0.0000 3.2525 3.2525
3.2525 0.0000 3.2525
3.2525 3.2525 0.0000
ATOMIC_POSITIONS crystal
Y 0.2500 0.2500 0.2500
Si 0.0000 0.0000 0.0000
Si 0.7500 0.7500 0.7500
Mo 0.5000 0.5000 0.5000

! ZrSiMo PBE-GGA relaxed; values from VASP
! - Spin magnetization: 0.01 μB/cell
! - Crystal system: orthorhombic
! - Calculated total energy: -102.700 eV for the cell shown
! - Theoretical density: 6.87 Mg/m³
&SYSTEM
  ibrav = 0, nat = 12, ntyp = 3
/
ATOMIC_SPECIES
Si 28.09 Si.upf
Zr 91.22 Zr.upf
Mo 95.94 Mo.upf
CELL_PARAMETERS angstrom
-4.5805 -3.6400 -3.5277
2.2646 -2.6469 -0.2093
-3.1394 -3.2755 7.4561
ATOMIC_POSITIONS crystal
Si 0.8787 0.2500 0.2525
Si 0.6213 0.7500 0.7525
Si 0.1213 0.7500 0.7475
Si 0.3787 0.2500 0.2475
Zr 0.3698 0.2500 0.9015
Zr 0.8698 0.2500 0.5985
Zr 0.6302 0.7500 0.0985
Zr 0.1302 0.7500 0.4015
Mo 0.3921 0.2500 0.5704
Mo 0.6079 0.7500 0.4296
Mo 0.1079 0.7500 0.0704
Mo 0.8921 0.2500 0.9296